Below is an optimized crystal structure of Rb3ScTa, with properties calculated at the GGA-PBE level.

The energy above the lowest structure with this stoichiometry comes out at 0.0 kJ per mole of atoms. The crystal system is cubic. For the density of states at the Fermi level, the calculation gives 7.90 states/eV/cell. The value obtained for the energy is -11.98 eV/f.u. The calculation puts the spin magnetization at 7.0 μB per formula unit.

It has space group Pm-3m (No. 221), with a = 6.9292 Å, b = 6.9292 Å, c = 6.9292 Å, α = 90.00°, β = 90.00° and γ = 90.00°. The asymmetric unit holds Rb at (0.0000, 0.0000, 0.5000), Sc at (0.5000, 0.5000, 0.5000) and Ta at (0.0000, 0.0000, 0.0000).